! Nd2ScCoO6 | Alexandria | GGA+U | relaxed; values from VASP
! - calculated total energy (eV per atom) = -7.889
! - M_tot (μB per cell) = 0.1
&SYSTEM
  ibrav = 0, nat = 20, ntyp = 4
/
ATOMIC_SPECIES
Co 58.93 Co.upf
O 16.00 O.upf
Nd 144.24 Nd.upf
Sc 44.96 Sc.upf
CELL_PARAMETERS angstrom
-2.2415 -4.9612 0.6726
1.4518 0.0806 5.4322
-6.8766 3.2730 1.7893
ATOMIC_POSITIONS crystal
Co 0.0000 0.5000 0.5000
O 0.2168 0.2007 0.0461
O 0.7832 0.7993 0.9539
O 0.5875 0.0236 0.2406
Co 0.5000 0.0000 0.0000
O 0.4125 0.9764 0.7594
Nd 0.5132 0.5509 0.7507
O 0.1979 0.2165 0.4527
O 0.2832 0.7007 0.4539
O 0.3021 0.7165 0.0473
O 0.9125 0.5236 0.2594
O 0.6979 0.2835 0.9527
Nd 0.0132 0.9491 0.2507
Nd 0.4868 0.4491 0.2493
Nd 0.9868 0.0509 0.7493
Sc 0.0000 0.5000 0.0000
O 0.0875 0.4764 0.7406
Sc 0.5000 0.0000 0.5000
O 0.7168 0.2993 0.5461
O 0.8021 0.7835 0.5473